[1]
Computed, not measured: a relaxed structure of Mg2InSe at the GGA-PBEsol level of DFT.

Values from the calculation:
Raw total energy (eV per atom): -2.901
Formation energy (no corrections) (eV per atom): -0.334
Calculated density (g cm⁻³): 4.416

The structure in CIF format:
```
data_Mg2InSe
_cell_length_a 3.6497
_cell_length_b 5.7038
_cell_length_c 8.7569
_cell_angle_alpha 90.00
_cell_angle_beta 90.00
_cell_angle_gamma 90.00
_space_group_name_H-M_alt 'I m m m'
_space_group_IT_number 71
_space_group_name_Hall '-I 2 2'
loop_
_atom_site_label
_atom_site_type_symbol
_atom_site_fract_x
_atom_site_fract_y
_atom_site_fract_z
Mg1 Mg 0.0000 0.0000 0.2223
In1 In 0.0000 0.5000 0.0000
Se1 Se 0.0000 0.5000 0.5000
```


[2]
Computed, not measured: a relaxed structure of AlRh5 at the GGA-PBEsol level of DFT.

Values from the calculation:
Energy of formation (eV per atom): -0.298
Raw total energy (eV per atom): -7.762
Calculated density (g cm⁻³): 11.117

The structure in CIF format:
```
data_AlRh5
_cell_length_a 4.6141
_cell_length_b 4.6227
_cell_length_c 8.0372
_cell_angle_alpha 90.34
_cell_angle_beta 106.66
_cell_angle_gamma 99.41
_space_group_name_H-M_alt 'P -1'
_space_group_IT_number 2
_space_group_name_Hall '-P 1'
loop_
_atom_site_label
_atom_site_type_symbol
_atom_site_fract_x
_atom_site_fract_y
_atom_site_fract_z
Al1 Al 0.2484 0.1269 0.2903
Rh1 Rh 0.2462 0.6211 0.4578
Rh2 Rh 0.2484 0.6301 0.1262
Rh3 Rh 0.2495 0.1257 0.6246
Rh4 Rh 0.2514 0.6259 0.7900
Rh5 Rh 0.2533 0.1303 0.9571
```


[3]
Computed, not measured: a relaxed structure of ReSiOF2 at the GGA-PBEsol level of DFT.

Values from the calculation:
Raw total energy (eV per atom): -5.828
Formation energy (no corrections) (eV per atom): -0.191
Calculated density (g cm⁻³): 6.847

The structure in CIF format:
```
data_ReSiOF2
_cell_length_a 4.4311
_cell_length_b 4.4311
_cell_length_c 3.3139
_cell_angle_alpha 90.00
_cell_angle_beta 90.00
_cell_angle_gamma 90.00
_space_group_name_H-M_alt 'P 4/m m m'
_space_group_IT_number 123
_space_group_name_Hall '-P 4 2'
loop_
_atom_site_label
_atom_site_type_symbol
_atom_site_fract_x
_atom_site_fract_y
_atom_site_fract_z
Re1 Re 0.0000 0.0000 0.0000
Si1 Si 0.5000 0.5000 0.5000
O1 O 0.5000 0.5000 0.0000
F1 F 0.0000 0.5000 0.5000
```


[4]
Computed, not measured: a relaxed structure of TcAuSe2N at the GGA-PBEsol level of DFT.

Values from the calculation:
Raw total energy (eV per atom): -4.793
Formation energy (no corrections) (eV per atom): 1.490
Calculated density (g cm⁻³): 7.916

The structure in CIF format:
```
data_TcAuSe2N
_cell_length_a 5.1652
_cell_length_b 5.1652
_cell_length_c 3.6709
_cell_angle_alpha 90.00
_cell_angle_beta 90.00
_cell_angle_gamma 90.00
_space_group_name_H-M_alt 'P 4/m m m'
_space_group_IT_number 123
_space_group_name_Hall '-P 4 2'
loop_
_atom_site_label
_atom_site_type_symbol
_atom_site_fract_x
_atom_site_fract_y
_atom_site_fract_z
Tc1 Tc 0.0000 0.0000 0.0000
Au1 Au 0.5000 0.5000 0.5000
Se1 Se 0.0000 0.5000 0.5000
N1 N 0.5000 0.5000 0.0000
```


[5]
Computed, not measured: a relaxed structure of Ca2Mg2Zn at the GGA-PBEsol level of DFT.

Values from the calculation:
Energy of formation (eV per atom): -0.115
Raw total energy (eV per atom): -1.972
Calculated density (g cm⁻³): 2.416

The structure in CIF format:
```
data_Ca2Mg2Zn
_cell_length_a 11.1931
_cell_length_b 6.6482
_cell_length_c 7.5761
_cell_angle_alpha 90.00
_cell_angle_beta 108.79
_cell_angle_gamma 90.00
_space_group_name_H-M_alt 'C 1 2/c 1'
_space_group_IT_number 15
_space_group_name_Hall '-C 2yc'
loop_
_atom_site_label
_atom_site_type_symbol
_atom_site_fract_x
_atom_site_fract_y
_atom_site_fract_z
Ca1 Ca 0.1591 0.0910 0.1380
Mg1 Mg 0.1012 0.3834 0.4621
Zn1 Zn 0.0000 0.2682 0.7500
```


[6]
Computed, not measured: a relaxed structure of KGa2Pb2 at the GGA-PBEsol level of DFT.

Values from the calculation:
Energy of formation (eV per atom): -0.061
Raw total energy (eV per atom): -3.223
Calculated density (g cm⁻³): 6.718

The structure in CIF format:
```
data_KGa2Pb2
_cell_length_a 4.1476
_cell_length_b 4.1476
_cell_length_c 17.0401
_cell_angle_alpha 90.00
_cell_angle_beta 90.00
_cell_angle_gamma 90.00
_space_group_name_H-M_alt 'I 4/m m m'
_space_group_IT_number 139
_space_group_name_Hall '-I 4 2'
loop_
_atom_site_label
_atom_site_type_symbol
_atom_site_fract_x
_atom_site_fract_y
_atom_site_fract_z
K1 K 0.0000 0.0000 0.0000
Ga1 Ga 0.0000 0.5000 0.2500
Pb1 Pb 0.0000 0.0000 0.3668
```